Computed, not measured: crystalline ScPaCuGe at its relaxed geometry at the GGA-PBE level of DFT.

Lattice parameters (Å, degrees): 4.8261 4.8261 4.8261 60.00 60.00 60.00
Positions (direct):
Sc 0.0000 0.0000 0.0000
Pa 0.5000 0.5000 0.5000
Cu 0.7500 0.7500 0.7500
Ge 0.2500 0.2500 0.2500

Output
**Energy of formation**: -0.24 eV per atom
**M_tot**: 0.00 μB/f.u.